Entry 1:
BeNbCoSn after structural relaxation. Source: the Open Quantum Materials Database, functional GGA-PBE.

Calculated values
energy relative to the lowest polymorph listed for this composition: 189 meV per atom

Lattice parameters (Å, degrees): 6.219 6.219 6.219 90.00 90.00 90.00
Space group F-43m (No. 216)
Unique sites:
Be  0.000  0.000  0.000 x4
Nb  0.250  0.250  0.250 x4
Co  0.250  0.250  0.750 x4
Sn  0.000  0.000  0.500 x4

Entry 2:
Na2CoAgH6 after structural relaxation. Source: the Open Quantum Materials Database, functional GGA-PBE.

Lattice parameters (Å, degrees): 7.104 7.104 7.104 90.00 90.00 90.00
Space group Fm-3m (No. 225)
Unique sites:
Na  0.250  0.250  0.250 x8
Co  0.000  0.000  0.000 x4
Ag  0.000  0.000  0.500 x4
H  0.000  0.000  0.222 x24

Entry 3:
Tl2CuAuCl6 after structural relaxation. Source: the Open Quantum Materials Database, functional GGA-PBE.

Lattice parameters (Å, degrees): 9.915 9.915 9.915 90.00 90.00 90.00
Space group Fm-3m (No. 225)
Unique sites:
Tl  0.250  0.250  0.250 x8
Cu  0.000  0.000  0.000 x4
Au  0.000  0.000  0.500 x4
Cl  0.000  0.000  0.243 x24

Uncorrected energy list, top to bottom, in eV per cell: -94.66; -135.43; -115.82